Below is a relaxed structure of LiSm2BiO5, with properties calculated at the GGA-PBE level.

Summary:
E_form (uncorrected) ... -2427.1 meV/atom
Total energy ... -61.87 eV/f.u.
Spin magnetization ... 0.00 Bohr magnetons per cell
Symmetry ... Cmc2_1, No. 36

Lattice parameters (Å, degrees): 3.508 6.916 10.726 90.00 90.00 104.69
Positions (direct):
Li  0.486  0.971  0.008
Li  0.514  0.029  0.508
Sm  0.899  0.799  0.776
Sm  0.144  0.288  0.679
Sm  0.101  0.201  0.276
Sm  0.856  0.712  0.179
Bi  0.822  0.644  0.481
Bi  0.178  0.356  0.981
O  0.339  0.678  0.034
O  0.725  0.449  0.813
O  0.502  0.003  0.821
O  0.317  0.635  0.625
O  0.986  0.972  0.588
O  0.661  0.322  0.534
O  0.275  0.551  0.313
O  0.498  0.997  0.321
O  0.683  0.365  0.125
O  0.014  0.028  0.088